Below is PmGe2Au after structural relaxation, with properties calculated at the PBE level.

Values from the calculation:
Energy of formation from the pure elements: -0.405 eV/atom
M_tot: 0.000 μB/atom
Calculated volume: 21.40 Å³ per atom
Distance to the lowest polymorph of the same formula: 0.66 eV/f.u.
Density of states at the Fermi level: 0.63 states/eV/atom

```
data_PmGe2Au
_chemical_formula_sum 'Pm2 Ge4 Au2'
_cell_length_a 5.6842
_cell_length_b 9.3529
_cell_length_c 3.2205
_cell_angle_alpha 90.00
_cell_angle_beta 90.00
_cell_angle_gamma 90.00
_space_group_name_H-M_alt 'C m m m'
_space_group_IT_number 65
_space_group_name_Hall '-C 2 2'
loop_
_atom_site_label
_atom_site_type_symbol
_atom_site_fract_x
_atom_site_fract_y
_atom_site_fract_z
Pm1 Pm 0.0000 0.0000 0.0000
Ge1 Ge 0.2500 0.2500 0.5000
Au1 Au 0.0000 0.5000 0.5000
```



Below is NaTh2O after structural relaxation, with properties calculated at the PBE level.

Values from the calculation:
M_tot: 0.000 μB/atom
Calculated volume: 28.11 Å³ per atom
Density of states at the Fermi level: 1.05 states/eV/atom
Formation energy without anion corrections: -923 meV/atom

```
data_NaTh2O
_chemical_formula_sum 'Na3 Th6 O3'
_cell_length_a 3.5679
_cell_length_b 3.5679
_cell_length_c 30.5981
_cell_angle_alpha 90.00
_cell_angle_beta 90.00
_cell_angle_gamma 120.00
_space_group_name_H-M_alt 'R -3 m'
_space_group_IT_number 166
_space_group_name_Hall '-R 3 2"'
loop_
_atom_site_label
_atom_site_type_symbol
_atom_site_fract_x
_atom_site_fract_y
_atom_site_fract_z
Na1 Na 0.0000 0.0000 0.0000
Th1 Th 0.0000 0.0000 0.1186
O1 O 0.0000 0.0000 0.5000
```



Below is CaSc2Os after structural relaxation, with properties calculated at the PBE level.

Values from the calculation:
Energy of formation from the pure elements: 0.215 eV/atom
M_tot: 0.000 μB/atom
Calculated volume: 20.77 Å³ per atom
Distance to the lowest polymorph of the same formula: 1.75 eV/f.u.
Density of states at the Fermi level: 1.26 states/eV/atom

```
data_CaSc2Os
_chemical_formula_sum 'Ca4 Sc8 Os4'
_cell_length_a 6.9261
_cell_length_b 6.9261
_cell_length_c 6.9261
_cell_angle_alpha 90.00
_cell_angle_beta 90.00
_cell_angle_gamma 90.00
_space_group_name_H-M_alt 'F -4 3 m'
_space_group_IT_number 216
_space_group_name_Hall 'F -4 2 3'
loop_
_atom_site_label
_atom_site_type_symbol
_atom_site_fract_x
_atom_site_fract_y
_atom_site_fract_z
Ca1 Ca 0.0000 0.0000 0.0000
Sc1 Sc 0.0000 0.0000 0.5000
Sc2 Sc 0.2500 0.2500 0.2500
Os1 Os 0.2500 0.2500 0.7500
```



> What is the density of states at the Fermi level in the second record?

1.05 states/eV/atom